Material: LiCu6Ir
Method: DFT, PBE
State: optimized geometry

a = 7.4720 Å, b = 4.7853 Å, c = 6.5985 Å
α = 90.00°, β = 106.23°, γ = 90.00°
Atoms (fractional coordinates):
Li (0.0000, 0.0000, 0.0000)
Li (0.5000, 0.5000, 0.0000)
Cu (0.1436, 0.0000, 0.4456)
Cu (0.2030, 0.2450, 0.8086)
Cu (0.2030, 0.7550, 0.8086)
Cu (0.2970, 0.2550, 0.1914)
Cu (0.2970, 0.7450, 0.1914)
Cu (0.3564, 0.5000, 0.5544)
Cu (0.6436, 0.5000, 0.4456)
Cu (0.7030, 0.2550, 0.8086)
Cu (0.7030, 0.7450, 0.8086)
Cu (0.7970, 0.2450, 0.1914)
Cu (0.7970, 0.7550, 0.1914)
Cu (0.8564, 0.0000, 0.5544)
Ir (0.0000, 0.5000, 0.5000)
Ir (0.5000, 0.0000, 0.5000)

Properties
total DFT energy (no corrections)	-4.15	eV/atom
N(E_F)	4.2	states/eV/f.u.
space-group type	C2/m (12)
ρ	8.510	g/cm³